Entry from the Alexandria database: a relaxed structure of SmInCu (PBE).

Calculated formation energy in eV per atom: -0.405
SG: No. 189

a = 7.5825 Å, b = 7.5825 Å, c = 4.0255 Å
α = 90.00°, β = 90.00°, γ = 120.00°
With the nearest neighbours (Å) after each atom.
Fractional positions:
1 Sm 0.0000 0.4125 0.0000  5 Cu 3.05-3.13, 6 In 3.25-3.39
2 Sm 0.4125 0.0000 0.0000  5 Cu 3.05-3.13, 6 In 3.25-3.39
3 Sm 0.5875 0.5875 0.0000  5 Cu 3.05-3.13, 6 In 3.25-3.39
4 In 0.0000 0.7492 0.5000  4 Cu 2.77-2.89
5 In 0.2508 0.2508 0.5000  4 Cu 2.77-2.89
6 In 0.7492 0.0000 0.5000  4 Cu 2.77-2.89
7 Cu 0.0000 0.0000 0.0000  6 In 2.77
8 Cu 0.3333 0.6667 0.5000  3 In 2.89, 6 Sm 3.05
9 Cu 0.6667 0.3333 0.5000  3 In 2.89, 6 Sm 3.05

***

Entry from the Alexandria database: a relaxed structure of Th4SiGeS2 (PBE).

SG: No. 10
E_form (uncorrected) in eV/atom: -1.30

a = 7.1096 Å, b = 4.2062 Å, c = 7.3256 Å
α = 90.00°, β = 109.91°, γ = 90.00°
With the nearest neighbours (Å) after each atom.
Fractional positions:
1 Th 0.2445 0.0000 0.2446  3 S 2.92-2.96, 1 Si 2.95, 2 Ge 2.98
2 Th 0.2473 0.5000 0.7523  3 S 2.92-2.95, 2 Si 2.95, 1 Ge 2.98
3 Th 0.7527 0.5000 0.2477  3 S 2.92-2.95, 2 Si 2.95, 1 Ge 2.98
4 Th 0.7555 0.0000 0.7554  3 S 2.92-2.96, 1 Si 2.95, 2 Ge 2.98
5 Si 0.5000 0.0000 0.0000  6 Th 2.95
6 Ge 0.5000 0.5000 0.5000  6 Th 2.98
7 S 0.0000 0.0000 0.5000  6 Th 2.95-2.96
8 S 0.0000 0.5000 0.0000  6 Th 2.92

***

Entry from the Alexandria database: a relaxed structure of PuSi3Pd5 (PBE).

SG: No. 63
E_form (uncorrected) in eV/atom: -0.61

a = 6.6052 Å, b = 6.6052 Å, c = 12.5335 Å
α = 90.00°, β = 90.00°, γ = 145.63°
With the nearest neighbours (Å) after each atom.
Fractional positions:
1 Pu 0.1468 0.8532 0.7500  7 Si 3.26-3.53, 10 Pd 3.48-3.64
2 Pu 0.8532 0.1468 0.2500  7 Si 3.26-3.53, 10 Pd 3.48-3.64
3 Si 0.1197 0.8803 0.2500  6 Pd 2.47-2.49
4 Si 0.3859 0.6141 0.0446  5 Pd 2.31-2.49
5 Si 0.3859 0.6141 0.4554  5 Pd 2.31-2.49
6 Si 0.6141 0.3859 0.5446  5 Pd 2.31-2.49
7 Si 0.6141 0.3859 0.9554  5 Pd 2.31-2.49
8 Si 0.8803 0.1197 0.7500  6 Pd 2.47-2.49
9 Pd 0.0000 0.0000 0.0000  4 Si 2.49, 6 Pd 2.75
10 Pd 0.0000 0.0000 0.5000  4 Si 2.49, 6 Pd 2.75
11 Pd 0.2055 0.7945 0.0731  2 Si 2.31-2.47
12 Pd 0.2055 0.7945 0.4269  2 Si 2.31-2.47
13 Pd 0.4441 0.5559 0.6443  4 Si 2.48-2.49, 3 Pd 2.65-2.75
14 Pd 0.4441 0.5559 0.8557  4 Si 2.48-2.49, 3 Pd 2.65-2.75
15 Pd 0.5559 0.4441 0.1443  4 Si 2.48-2.49, 3 Pd 2.65-2.75
16 Pd 0.5559 0.4441 0.3557  4 Si 2.48-2.49, 3 Pd 2.65-2.75
17 Pd 0.7945 0.2055 0.5731  2 Si 2.31-2.47
18 Pd 0.7945 0.2055 0.9269  2 Si 2.31-2.47

***

| no. | D(E_F) (states/eV/f.u.) |
| --- | --- |
| 1 | 1.7 |
| 2 | 5.3 |
| 3 | 16.4 |